# 1
Computed, not measured: crystalline La2DyHo7 at its relaxed geometry at the PBE level of DFT.

Unit cell a=6.1772 b=7.1306 c=8.0095 alpha=77.13 beta=74.89 gamma=73.65
Last column: nearest neighbours and their distance in Å.
Space group P-1 (No. 2)
Symmetry-distinct sites (fractional):
La (0.2006, 0.2977, 0.1025) (multiplicity 2)  10 Ho 3.55-3.61, 1 Dy 3.57, 1 La 3.63
Dy (0.0000, 0.5000, 0.5000) (multiplicity 1)  10 Ho 3.55-3.57, 2 La 3.57
Ho (0.0000, 0.0000, 0.5000) (multiplicity 1)  8 Ho 3.54-3.57, 2 La 3.55, 2 Dy 3.57
Ho (0.1982, 0.7997, 0.1028) (multiplicity 2)  1 Dy 3.55, 7 Ho 3.55-3.62, 4 La 3.55-3.58
Ho (0.3981, 0.1015, 0.6959) (multiplicity 2)  9 Ho 3.52-3.61, 1 Dy 3.56, 2 La 3.59-3.61
Ho (0.3989, 0.6011, 0.6966) (multiplicity 2)  7 Ho 3.52-3.62, 2 Dy 3.55-3.57, 3 La 3.57-3.61

# 2
Computed, not measured: crystalline La2Dy9Ho at its relaxed geometry at the PBE level of DFT.

Distance to the lowest polymorph of the same formula in meV per atom: 59.1

Unit cell a=11.3466 b=11.3466 c=3.4794 alpha=90.00 beta=90.00 gamma=120.00
Last column: nearest neighbours and their distance in Å.
Space group P6/mmm (No. 191)
Symmetry-distinct sites (fractional):
La (0.3333, 0.6667, 0.0000) (multiplicity 2)  9 Dy 3.28-3.63, 2 La 3.48
Dy (0.0000, 0.5000, 0.0000) (multiplicity 3)  2 La 3.28, 2 Dy 3.48
Dy (0.1711, 0.3423, 0.5000) (multiplicity 6)  8 Dy 3.36-3.67, 2 La 3.63
Ho (0.0000, 0.0000, 0.0000) (multiplicity 1)  2 Ho 3.48, 12 Dy 3.79

# 3
Computed, not measured: crystalline La3Dy2Ho3 at its relaxed geometry at the PBE level of DFT.

Distance to the lowest polymorph of the same formula in meV per atom: 56.8

Unit cell a=16.6099 b=5.7673 c=6.0500 alpha=90.00 beta=110.66 gamma=90.00
Last column: nearest neighbours and their distance in Å.
Space group C2/m (No. 12)
Symmetry-distinct sites (fractional):
La (0.0000, 0.0000, 0.0000) (multiplicity 2)  2 La 3.36, 4 Ho 3.57
La (0.1355, 0.0000, 0.6976) (multiplicity 4)  1 La 3.36, 4 Dy 3.46-3.57, 5 Ho 3.58-3.71
Dy (0.2488, 0.5000, 0.6799) (multiplicity 4)  4 Ho 3.45-3.58, 4 La 3.46-3.57, 2 Dy 3.62
Ho (0.0000, 0.5000, 0.5000) (multiplicity 2)  2 Ho 3.43, 4 La 3.59
Ho (0.1340, 0.5000, 0.0812) (multiplicity 4)  1 Ho 3.43, 4 Dy 3.45-3.58, 5 La 3.57-3.71

# 4
Computed, not measured: crystalline LaDy5Ho3 at its relaxed geometry at the PBE level of DFT.

Distance to the lowest polymorph of the same formula in meV per atom: 86.6

Unit cell a=16.9666 b=7.9871 c=12.1998 alpha=90.00 beta=130.69 gamma=90.00
Last column: nearest neighbours and their distance in Å.
Space group C2/m (No. 12)
Symmetry-distinct sites (fractional):
La (0.2376, 0.0000, 0.1372) (multiplicity 4)  2 Ho 3.20-3.38, 1 Dy 3.32
Dy (0.0000, 0.3211, 0.0000) (multiplicity 4)  1 Ho 2.56, 1 Dy 2.86
Dy (0.0643, 0.2067, 0.7798) (multiplicity 8)  5 Dy 3.30-3.65, 3 Ho 3.44-3.67, 2 La 3.66-3.70
Dy (0.1238, 0.0000, 0.5686) (multiplicity 4)  2 Ho 3.31-3.59, 4 Dy 3.34-3.65
Dy (0.2004, 0.5000, 0.0709) (multiplicity 4)  7 Dy 3.24-3.57, 1 La 3.32
Ho (0.0000, 0.0000, 0.0000) (multiplicity 2)  2 Dy 2.56
Ho (0.0000, 0.5000, 0.5000) (multiplicity 2)  4 Dy 3.67, 2 La 3.70, 2 Ho 3.88
Ho (0.1206, 0.5000, 0.3183) (multiplicity 4)  1 Ho 3.29, 5 Dy 3.31-3.59
Ho (0.1661, 0.0000, 0.3393) (multiplicity 4)  2 Ho 3.14-3.29, 1 Dy 3.31, 1 La 3.38

# 5
Computed, not measured: crystalline LaDy3Ho12 at its relaxed geometry at the PBE level of DFT.

Unit cell a=5.0094 b=5.0094 c=20.0597 alpha=90.00 beta=90.00 gamma=90.00
Last column: nearest neighbours and their distance in Å.
Space group P4/mmm (No. 123)
Symmetry-distinct sites (fractional):
La (0.0000, 0.0000, 0.0000) (multiplicity 1)  12 Ho 3.54-3.59
Dy (0.0000, 0.0000, 0.2514) (multiplicity 2)  12 Ho 3.52-3.54
Dy (0.0000, 0.0000, 0.5000) (multiplicity 1)  12 Ho 3.53-3.54
Ho (0.0000, 0.5000, 0.1282) (multiplicity 4)  2 Dy 3.52, 8 Ho 3.54-3.59, 2 La 3.59
Ho (0.0000, 0.5000, 0.3760) (multiplicity 4)  8 Ho 3.52-3.54, 4 Dy 3.53-3.54
Ho (0.5000, 0.5000, 0.0000) (multiplicity 1)  4 La 3.54, 8 Ho 3.59
Ho (0.5000, 0.5000, 0.2526) (multiplicity 2)  8 Ho 3.52-3.54, 4 Dy 3.54
Ho (0.5000, 0.5000, 0.5000) (multiplicity 1)  8 Ho 3.53, 4 Dy 3.54

# 6
Computed, not measured: crystalline La7Dy4Ho at its relaxed geometry at the PBE level of DFT.

Distance to the lowest polymorph of the same formula in meV per atom: 0.0

Unit cell a=6.4081 b=7.3488 c=9.0953 alpha=89.95 beta=76.45 gamma=89.96
Last column: nearest neighbours and their distance in Å.
Space group P-1 (No. 2)
Symmetry-distinct sites (fractional):
La (0.0000, 0.0000, 0.0000) (multiplicity 1)  2 Dy 3.64, 8 La 3.65-3.72, 2 Ho 3.67
La (0.2251, 0.0003, 0.3338) (multiplicity 2)  7 La 3.63-3.73, 5 Dy 3.67-3.73
La (0.2800, 0.2525, 0.6655) (multiplicity 2)  6 Dy 3.60-3.75, 5 La 3.63-3.73, 1 Ho 3.64
La (0.4998, 0.2560, 0.0019) (multiplicity 2)  7 La 3.59-3.76, 3 Dy 3.61-3.64, 2 Ho 3.67
Dy (0.2162, 0.4997, 0.3345) (multiplicity 2)  4 Dy 3.58-3.70, 7 La 3.62-3.71, 1 Ho 3.63
Dy (0.2762, 0.7424, 0.6691) (multiplicity 2)  1 Ho 3.59, 8 La 3.60-3.75, 3 Dy 3.63-3.70
Ho (0.0000, 0.5000, 0.0000) (multiplicity 1)  4 Dy 3.59-3.63, 8 La 3.64-3.67

# 7
Computed, not measured: crystalline LaDy6Ho at its relaxed geometry at the PBE level of DFT.

Distance to the lowest polymorph of the same formula in meV per atom: 169.0

Unit cell a=6.5623 b=6.5673 c=7.5139 alpha=114.71 beta=115.66 gamma=90.18
Last column: nearest neighbours and their distance in Å.
Space group P-1 (No. 2)
Symmetry-distinct sites (fractional):
La (0.0000, 0.0000, 0.0000) (multiplicity 1)  2 Ho 3.28, 4 Dy 3.39-3.59
Dy (0.2364, 0.5621, 0.4722) (multiplicity 2)  6 Dy 3.29-3.46, 1 Ho 3.39, 1 La 3.59
Dy (0.2532, 0.5002, 0.9993) (multiplicity 2)  6 Dy 3.23-3.46
Dy (0.2677, 0.0899, 0.5347) (multiplicity 2)  6 Dy 3.29-3.45, 1 La 3.39, 1 Ho 3.47
Ho (0.5000, 0.0000, 0.0000) (multiplicity 1)  2 La 3.28, 8 Dy 3.39-3.67

# 8
Computed, not measured: crystalline La12Dy3Ho at its relaxed geometry at the PBE level of DFT.

Unit cell a=5.2062 b=5.2062 c=20.8014 alpha=90.00 beta=90.00 gamma=90.00
Last column: nearest neighbours and their distance in Å.
Space group P4/mmm (No. 123)
Symmetry-distinct sites (fractional):
La (0.0000, 0.0000, 0.0000) (multiplicity 1)  8 La 3.68, 4 Dy 3.68
La (0.0000, 0.0000, 0.2502) (multiplicity 2)  8 La 3.68, 4 Dy 3.68
La (0.0000, 0.0000, 0.5000) (multiplicity 1)  8 La 3.68, 4 Ho 3.68
La (0.0000, 0.5000, 0.1251) (multiplicity 4)  8 La 3.68, 4 Dy 3.68
La (0.0000, 0.5000, 0.3752) (multiplicity 4)  8 La 3.68, 2 Ho 3.68, 2 Dy 3.68
Dy (0.5000, 0.5000, 0.0000) (multiplicity 1)  12 La 3.68
Dy (0.5000, 0.5000, 0.2502) (multiplicity 2)  12 La 3.68
Ho (0.5000, 0.5000, 0.5000) (multiplicity 1)  12 La 3.68

# 9
Computed, not measured: crystalline La6Dy16Ho7 at its relaxed geometry at the PBE level of DFT.

Unit cell a=15.7561 b=15.7561 c=15.7561 alpha=90.00 beta=90.00 gamma=90.00
Last column: nearest neighbours and their distance in Å.
Space group Fm-3m (No. 225)
Symmetry-distinct sites (fractional):
La (0.0000, 0.0000, 0.2210) (multiplicity 24)  1 Ho 3.48, 8 Dy 3.53-3.64
Dy (0.1158, 0.1158, 0.3842) (multiplicity 32)  3 Ho 3.50, 3 La 3.64, 6 Dy 3.65-3.77
Dy (0.1501, 0.1501, 0.1501) (multiplicity 32)  3 Ho 3.25, 3 La 3.53
Ho (0.0000, 0.0000, 0.0000) (multiplicity 4)  6 La 3.48
Ho (0.0000, 0.2500, 0.2500) (multiplicity 24)  8 Dy 3.25-3.50

Short version: E_tot = -46.215; -54.797; -74.000; -151.657; -73.283; -57.313; -35.541; -77.389; -519.007 eV for the cell shown, in the order given.
Short version: density of states at the Fermi level = 15.50; 19.92; 26.48; 55.51; 21.76; 17.67; 12.94; 21.89; 177.55 states/eV per cell, in the order given.
Short version: ΔE_f = 2.8; 8.5; 8.7; 40.3; 2.3; 1.3; 19.0; 0.8; 18.3 kJ per mole of atoms, in the order given.